Model i:
{
  "formula": "La3Y4Ho",
  "functional": "PBE",
  "state": "optimized geometry",
  "sg": "Immm, No. 71",
  "lattice_angstrom": [[3.514, 0.000, 0.000], [0.000, 11.866, 0.000], [0.000, 0.000, 13.210]],
  "species": ["La", "La", "La", "La", "La", "La", "Y", "Y", "Y", "Y", "Y", "Y", "Y", "Y", "Ho", "Ho"],
  "fractional_positions": [[0.000, 0.000, 0.000], [0.000, 0.500, 0.243], [0.000, 0.500, 0.757], [0.500, 0.000, 0.257], [0.500, 0.000, 0.743], [0.500, 0.500, 0.500], [0.000, 0.246, 0.366], [0.000, 0.246, 0.634], [0.000, 0.754, 0.366], [0.000, 0.754, 0.634], [0.500, 0.254, 0.134], [0.500, 0.254, 0.866], [0.500, 0.746, 0.134], [0.500, 0.746, 0.866], [0.000, 0.000, 0.500], [0.500, 0.500, 0.000]]
}

Model ii:
{
  "formula": "La3Y4Ho",
  "functional": "PBE",
  "state": "optimized geometry",
  "sg": "Pmn2_1, No. 31",
  "lattice_angstrom": [[11.637, 0.000, 0.000], [0.000, 7.390, 0.000], [0.000, 0.000, 6.367]],
  "species": ["La", "La", "La", "La", "La", "La", "Y", "Y", "Y", "Y", "Y", "Y", "Y", "Y", "Ho", "Ho"],
  "fractional_positions": [[0.000, 0.128, 0.000], [0.246, 0.876, 0.829], [0.254, 0.124, 0.329], [0.500, 0.872, 0.500], [0.746, 0.124, 0.329], [0.754, 0.876, 0.829], [0.000, 0.376, 0.493], [0.000, 0.868, 0.492], [0.248, 0.621, 0.329], [0.252, 0.379, 0.829], [0.500, 0.132, 0.992], [0.500, 0.624, 0.993], [0.748, 0.379, 0.829], [0.752, 0.621, 0.329], [0.000, 0.620, 0.993], [0.500, 0.380, 0.493]]
}

Which of them is the most stable? Correct choice: model ii.

Model i:
{
  "formula": "La2YHo5",
  "functional": "PBE",
  "state": "optimized geometry",
  "sg": "C2/c, No. 15",
  "lattice_angstrom": [[7.994, -4.943, 0.000], [7.994, 4.943, 0.000], [-1.010, 0.000, 6.606]],
  "species": ["La", "La", "La", "La", "Y", "Y", "Ho", "Ho", "Ho", "Ho", "Ho", "Ho", "Ho", "Ho", "Ho", "Ho"],
  "fractional_positions": [[0.178, 0.680, 0.895], [0.320, 0.822, 0.605], [0.680, 0.178, 0.395], [0.822, 0.320, 0.105], [0.000, 0.500, 0.000], [0.500, 0.000, 0.500], [0.068, 0.932, 0.250], [0.102, 0.287, 0.526], [0.287, 0.102, 0.026], [0.316, 0.475, 0.342], [0.475, 0.316, 0.842], [0.525, 0.684, 0.158], [0.684, 0.525, 0.658], [0.713, 0.898, 0.974], [0.898, 0.713, 0.474], [0.932, 0.068, 0.750]]
}

Model ii:
{
  "formula": "La2YHo5",
  "functional": "PBE",
  "state": "optimized geometry",
  "sg": "Pbam, No. 55",
  "lattice_angstrom": [[7.167, 0.000, 0.000], [0.000, 14.339, 0.000], [0.000, 0.000, 5.092]],
  "species": ["La", "La", "La", "La", "Y", "Y", "Ho", "Ho", "Ho", "Ho", "Ho", "Ho", "Ho", "Ho", "Ho", "Ho"],
  "fractional_positions": [[0.249, 0.126, 0.000], [0.251, 0.626, 0.000], [0.749, 0.374, 0.000], [0.751, 0.874, 0.000], [0.000, 0.500, 0.500], [0.500, 0.000, 0.500], [0.000, 0.000, 0.500], [0.000, 0.249, 0.500], [0.000, 0.751, 0.500], [0.249, 0.875, 0.000], [0.251, 0.375, 0.000], [0.500, 0.251, 0.500], [0.500, 0.500, 0.500], [0.500, 0.749, 0.500], [0.749, 0.625, 0.000], [0.751, 0.125, 0.000]]
}

Which of them is the most stable? Correct choice: model ii.

Model i:
{
  "formula": "La3Y8Ho2",
  "functional": "PBE",
  "state": "optimized geometry",
  "sg": "C2/m, No. 12",
  "lattice_angstrom": [[10.096, -3.894, 0.000], [10.096, 3.894, 0.000], [-0.007, 0.000, 5.711]],
  "species": ["La", "La", "La", "Y", "Y", "Y", "Y", "Y", "Y", "Y", "Y", "Ho", "Ho"],
  "fractional_positions": [[0.000, 0.000, 0.000], [0.299, 0.701, 0.500], [0.701, 0.299, 0.500], [0.137, 0.137, 0.499], [0.182, 0.598, 0.000], [0.325, 0.325, 0.499], [0.402, 0.818, 0.000], [0.598, 0.182, 0.000], [0.675, 0.675, 0.501], [0.818, 0.402, 0.000], [0.863, 0.863, 0.501], [0.241, 0.241, 0.998], [0.759, 0.759, 0.002]]
}

Model ii:
{
  "formula": "La3Y8Ho2",
  "functional": "PBE",
  "state": "optimized geometry",
  "sg": "C2/m, No. 12",
  "lattice_angstrom": [[7.399, -4.627, 0.000], [7.399, 4.627, 0.000], [-2.246, 0.000, 6.640]],
  "species": ["La", "La", "La", "Y", "Y", "Y", "Y", "Y", "Y", "Y", "Y", "Ho", "Ho"],
  "fractional_positions": [[0.000, 0.000, 0.000], [0.176, 0.824, 0.500], [0.824, 0.176, 0.500], [0.194, 0.194, 0.902], [0.200, 0.560, 0.819], [0.413, 0.413, 0.269], [0.440, 0.800, 0.181], [0.560, 0.200, 0.819], [0.587, 0.587, 0.731], [0.800, 0.440, 0.181], [0.806, 0.806, 0.098], [0.213, 0.213, 0.425], [0.787, 0.787, 0.575]]
}

Which of them is the most stable? Correct choice: model ii.

Model i:
{
  "formula": "La4Y2Ho3",
  "functional": "PBE",
  "state": "optimized geometry",
  "sg": "C2/m, No. 12",
  "lattice_angstrom": [[5.849, -2.950, 0.000], [5.849, 2.950, 0.000], [-1.974, 0.000, 8.913]],
  "species": ["La", "La", "La", "La", "Y", "Y", "Ho", "Ho", "Ho"],
  "fractional_positions": [[0.183, 0.183, 0.031], [0.275, 0.275, 0.668], [0.725, 0.725, 0.332], [0.817, 0.817, 0.969], [0.040, 0.040, 0.327], [0.960, 0.960, 0.673], [0.401, 0.401, 0.348], [0.500, 0.500, 0.000], [0.599, 0.599, 0.652]]
}

Model ii:
{
  "formula": "La4Y2Ho3",
  "functional": "PBE",
  "state": "optimized geometry",
  "sg": "C2/m, No. 12",
  "lattice_angstrom": [[7.719, -2.579, 0.000], [7.719, 2.579, 0.000], [-2.551, 0.000, 7.682]],
  "species": ["La", "La", "La", "La", "Y", "Y", "Ho", "Ho", "Ho"],
  "fractional_positions": [[0.054, 0.054, 0.331], [0.276, 0.276, 0.665], [0.724, 0.724, 0.335], [0.946, 0.946, 0.669], [0.167, 0.167, 0.000], [0.833, 0.833, 0.000], [0.389, 0.389, 0.329], [0.500, 0.500, 0.000], [0.611, 0.611, 0.671]]
}

Which of them is the most stable? Correct choice: model ii.

Model i:
{
  "formula": "LaY4Ho6",
  "functional": "PBE",
  "state": "optimized geometry",
  "sg": "I-42m, No. 121",
  "lattice_angstrom": [[-3.844, 3.844, 6.519], [3.844, -3.844, 6.519], [3.844, 3.844, -6.519]],
  "species": ["La", "Y", "Y", "Y", "Y", "Ho", "Ho", "Ho", "Ho", "Ho", "Ho"],
  "fractional_positions": [[0.000, 0.000, 0.000], [0.257, 0.257, 0.668], [0.411, 0.743, 0.000], [0.589, 0.589, 0.332], [0.743, 0.411, 0.000], [0.000, 0.500, 0.500], [0.062, 0.568, 0.000], [0.432, 0.432, 0.494], [0.500, 0.000, 0.500], [0.568, 0.062, 0.000], [0.938, 0.938, 0.506]]
}

Model ii:
{
  "formula": "LaY4Ho6",
  "functional": "PBE",
  "state": "optimized geometry",
  "sg": "Cmcm, No. 63",
  "lattice_angstrom": [[2.852, -4.862, 0.000], [2.852, 4.862, 0.000], [0.000, 0.000, 25.728]],
  "species": ["La", "La", "Y", "Y", "Y", "Y", "Y", "Y", "Y", "Y", "Ho", "Ho", "Ho", "Ho", "Ho", "Ho", "Ho", "Ho", "Ho", "Ho", "Ho", "Ho"],
  "fractional_positions": [[0.180, 0.820, 0.750], [0.820, 0.180, 0.250], [0.161, 0.839, 0.042], [0.161, 0.839, 0.458], [0.484, 0.516, 0.122], [0.484, 0.516, 0.378], [0.516, 0.484, 0.622], [0.516, 0.484, 0.878], [0.839, 0.161, 0.542], [0.839, 0.161, 0.958], [0.152, 0.848, 0.180], [0.152, 0.848, 0.320], [0.180, 0.820, 0.601], [0.180, 0.820, 0.899], [0.486, 0.514, 0.250], [0.500, 0.500, 0.000], [0.500, 0.500, 0.500], [0.514, 0.486, 0.750], [0.820, 0.180, 0.101], [0.820, 0.180, 0.399], [0.848, 0.152, 0.680], [0.848, 0.152, 0.820]]
}

Which of them is the most stable? Correct choice: model ii.

Model i:
{
  "formula": "LaY4Ho3",
  "functional": "PBE",
  "state": "optimized geometry",
  "sg": "Immm, No. 71",
  "lattice_angstrom": [[3.446, 0.000, 0.000], [0.000, 6.696, 0.000], [0.000, 0.000, 22.896]],
  "species": ["La", "La", "Y", "Y", "Y", "Y", "Y", "Y", "Y", "Y", "Ho", "Ho", "Ho", "Ho", "Ho", "Ho"],
  "fractional_positions": [[0.000, 0.000, 0.000], [0.500, 0.500, 0.500], [0.000, 0.257, 0.126], [0.000, 0.257, 0.874], [0.000, 0.743, 0.126], [0.000, 0.743, 0.874], [0.500, 0.243, 0.374], [0.500, 0.243, 0.626], [0.500, 0.757, 0.374], [0.500, 0.757, 0.626], [0.000, 0.000, 0.260], [0.000, 0.000, 0.500], [0.000, 0.000, 0.740], [0.500, 0.500, 0.000], [0.500, 0.500, 0.240], [0.500, 0.500, 0.760]]
}

Model ii:
{
  "formula": "LaY4Ho3",
  "functional": "PBE",
  "state": "optimized geometry",
  "sg": "Pmmn, No. 59",
  "lattice_angstrom": [[5.070, 0.000, 0.000], [0.000, 10.099, 0.000], [0.000, 0.000, 10.135]],
  "species": ["La", "La", "Y", "Y", "Y", "Y", "Y", "Y", "Y", "Y", "Ho", "Ho", "Ho", "Ho", "Ho", "Ho"],
  "fractional_positions": [[0.250, 0.250, 0.122], [0.750, 0.750, 0.878], [0.250, 0.250, 0.626], [0.250, 0.501, 0.375], [0.250, 0.750, 0.623], [0.250, 0.999, 0.375], [0.750, 0.001, 0.625], [0.750, 0.250, 0.377], [0.750, 0.499, 0.625], [0.750, 0.750, 0.374], [0.250, 0.001, 0.875], [0.250, 0.499, 0.875], [0.250, 0.750, 0.126], [0.750, 0.250, 0.874], [0.750, 0.501, 0.125], [0.750, 0.999, 0.125]]
}

Which of them is the most stable? Correct choice: model ii.

Model i:
{
  "formula": "La4Y3Ho2",
  "functional": "PBE",
  "state": "optimized geometry",
  "sg": "C2/m, No. 12",
  "lattice_angstrom": [[6.532, -1.841, 0.000], [6.532, 1.841, 0.000], [-6.432, 0.000, 13.128]],
  "species": ["La", "La", "La", "La", "Y", "Y", "Y", "Ho", "Ho"],
  "fractional_positions": [[0.220, 0.220, 0.107], [0.276, 0.276, 0.628], [0.724, 0.724, 0.372], [0.780, 0.780, 0.893], [0.495, 0.495, 0.113], [0.500, 0.500, 0.500], [0.505, 0.505, 0.887], [0.046, 0.046, 0.709], [0.954, 0.954, 0.291]]
}

Model ii:
{
  "formula": "La4Y3Ho2",
  "functional": "PBE",
  "state": "optimized geometry",
  "sg": "C2/m, No. 12",
  "lattice_angstrom": [[7.714, -2.590, 0.000], [7.714, 2.590, 0.000], [-2.552, 0.000, 7.687]],
  "species": ["La", "La", "La", "La", "Y", "Y", "Y", "Ho", "Ho"],
  "fractional_positions": [[0.055, 0.055, 0.330], [0.277, 0.277, 0.669], [0.723, 0.723, 0.331], [0.945, 0.945, 0.670], [0.388, 0.388, 0.329], [0.500, 0.500, 0.000], [0.612, 0.612, 0.671], [0.168, 0.168, 0.000], [0.832, 0.832, 0.000]]
}

Which of them is the most stable? Correct choice: model ii.

Model i:
{
  "formula": "LaY3Ho3",
  "functional": "PBE",
  "state": "optimized geometry",
  "sg": "P6_3/m, No. 176",
  "lattice_angstrom": [[9.626, 0.000, 0.000], [-4.813, 8.336, 0.000], [0.000, 0.000, 5.707]],
  "species": ["La", "La", "Y", "Y", "Y", "Y", "Y", "Y", "Ho", "Ho", "Ho", "Ho", "Ho", "Ho"],
  "fractional_positions": [[0.333, 0.667, 0.250], [0.667, 0.333, 0.750], [0.047, 0.237, 0.250], [0.189, 0.953, 0.250], [0.237, 0.189, 0.750], [0.763, 0.811, 0.250], [0.811, 0.047, 0.750], [0.953, 0.763, 0.750], [0.096, 0.478, 0.750], [0.382, 0.904, 0.750], [0.478, 0.382, 0.250], [0.522, 0.618, 0.750], [0.618, 0.096, 0.250], [0.904, 0.522, 0.250]]
}

Model ii:
{
  "formula": "LaY3Ho3",
  "functional": "PBE",
  "state": "optimized geometry",
  "sg": "R-3, No. 148",
  "lattice_angstrom": [[4.343, 2.507, 7.288], [-4.343, 2.507, 7.288], [0.000, -5.014, 7.288]],
  "species": ["La", "La", "Y", "Y", "Y", "Y", "Y", "Y", "Ho", "Ho", "Ho", "Ho", "Ho", "Ho"],
  "fractional_positions": [[0.149, 0.149, 0.149], [0.851, 0.851, 0.851], [0.070, 0.230, 0.563], [0.230, 0.563, 0.070], [0.437, 0.930, 0.770], [0.563, 0.070, 0.230], [0.770, 0.437, 0.930], [0.930, 0.770, 0.437], [0.216, 0.435, 0.672], [0.328, 0.784, 0.565], [0.435, 0.672, 0.216], [0.565, 0.328, 0.784], [0.672, 0.216, 0.435], [0.784, 0.565, 0.328]]
}

Which of them is the most stable? Correct choice: model i.

Model i:
{
  "formula": "La2Y4Ho5",
  "functional": "PBE",
  "state": "optimized geometry",
  "sg": "C2/m, No. 12",
  "lattice_angstrom": [[11.996, -1.724, 0.000], [11.996, 1.724, 0.000], [-1.002, 0.000, 8.754]],
  "species": ["La", "La", "Y", "Y", "Y", "Y", "Ho", "Ho", "Ho", "Ho", "Ho"],
  "fractional_positions": [[0.093, 0.093, 0.251], [0.907, 0.907, 0.749], [0.046, 0.046, 0.861], [0.321, 0.321, 0.026], [0.679, 0.679, 0.974], [0.954, 0.954, 0.139], [0.142, 0.142, 0.625], [0.234, 0.234, 0.328], [0.500, 0.500, 0.500], [0.766, 0.766, 0.672], [0.858, 0.858, 0.375]]
}

Model ii:
{
  "formula": "La2Y4Ho5",
  "functional": "PBE",
  "state": "optimized geometry",
  "sg": "Immm, No. 71",
  "lattice_angstrom": [[-1.750, 4.548, 11.727], [1.750, -4.548, 11.727], [1.750, 4.548, -11.727]],
  "species": ["La", "La", "Y", "Y", "Y", "Y", "Ho", "Ho", "Ho", "Ho", "Ho"],
  "fractional_positions": [[0.236, 0.236, 0.000], [0.764, 0.764, 0.000], [0.100, 0.100, 0.000], [0.187, 0.500, 0.687], [0.813, 0.500, 0.313], [0.900, 0.900, 0.000], [0.174, 0.363, 0.812], [0.449, 0.637, 0.812], [0.500, 0.000, 0.500], [0.551, 0.363, 0.188], [0.826, 0.637, 0.188]]
}

Which of them is the most stable? Correct choice: model i.

Model i:
{
  "formula": "La2Y7Ho",
  "functional": "PBE",
  "state": "optimized geometry",
  "sg": "Cmmm, No. 65",
  "lattice_angstrom": [[3.301, -14.576, 0.000], [3.301, 14.576, 0.000], [0.000, 0.000, 3.530]],
  "species": ["La", "La", "Y", "Y", "Y", "Y", "Y", "Y", "Y", "Ho"],
  "fractional_positions": [[0.206, 0.794, 0.000], [0.794, 0.206, 0.000], [0.000, 0.000, 0.000], [0.159, 0.353, 0.000], [0.315, 0.685, 0.500], [0.353, 0.159, 0.000], [0.647, 0.841, 0.000], [0.685, 0.315, 0.500], [0.841, 0.647, 0.000], [0.500, 0.500, 0.500]]
}

Model ii:
{
  "formula": "La2Y7Ho",
  "functional": "PBE",
  "state": "optimized geometry",
  "sg": "P-1, No. 2",
  "lattice_angstrom": [[6.219, 0.000, 0.000], [-1.057, 6.153, 0.000], [-2.059, -3.506, 8.631]],
  "species": ["La", "La", "Y", "Y", "Y", "Y", "Y", "Y", "Y", "Ho"],
  "fractional_positions": [[0.099, 0.197, 0.202], [0.901, 0.803, 0.798], [0.200, 0.400, 0.899], [0.299, 0.598, 0.599], [0.402, 0.801, 0.301], [0.500, 0.000, 0.000], [0.598, 0.199, 0.699], [0.701, 0.402, 0.401], [0.800, 0.600, 0.101], [0.000, 0.000, 0.500]]
}

Which of them is the most stable? Correct choice: model ii.